Record 1
A plane-wave DFT calculation with PBE was carried out for a relaxed PdPbI crystal.

a = 6.4099 Å, b = 3.8888 Å, c = 7.5119 Å
α = 90.00°, β = 107.72°, γ = 90.00°
Fractional coordinates of all 6 atoms:
Pd 0.0000 0.0000 0.0000
Pd 0.4394 0.0000 0.9989
Pb 0.1268 0.5000 0.7455
Pb 0.3031 0.5000 0.2304
I 0.6447 0.5000 0.7938
I 0.8304 0.0000 0.3070

Calculated values
Spin magnetization in μB/f.u.: 0.000
Formation energy without anion corrections in eV/atom: -0.2555
Distance to the lowest polymorph of the same formula in kJ/mol of atoms: 1.9



Record 2
A plane-wave DFT calculation with PBE was carried out for a relaxed CdHgTe2S crystal.

a = 5.7123 Å, b = 5.7123 Å, c = 4.9046 Å
α = 90.00°, β = 90.00°, γ = 90.00°
Fractional coordinates of all 5 atoms:
Cd 0.0000 0.0000 0.0000
Hg 0.5000 0.5000 0.5000
Te 0.0000 0.5000 0.5000
Te 0.5000 0.0000 0.5000
S 0.5000 0.5000 0.0000

Calculated values
Spin magnetization in μB/f.u.: 0.000
Formation energy without anion corrections in eV/atom: 0.5797



Record 3
A plane-wave DFT calculation with PBE was carried out for a relaxed Er2BeNi2 crystal.

a = 5.2389 Å, b = 5.2389 Å, c = 7.2319 Å
α = 101.45°, β = 101.45°, γ = 61.32°
Fractional coordinates of all 10 atoms:
Er 0.0209 0.2824 0.1505
Er 0.2824 0.0209 0.6505
Er 0.7176 0.9791 0.3495
Er 0.9791 0.7176 0.8495
Be 0.3750 0.6250 0.2500
Be 0.6250 0.3750 0.7500
Ni 0.2484 0.5016 0.4972
Ni 0.4984 0.7516 0.0028
Ni 0.5016 0.2484 0.9972
Ni 0.7516 0.4984 0.5028

Calculated values
Spin magnetization in μB/f.u.: 0.000
Energy of formation from the pure elements in meV/atom: -384